Density functional theory data (PBEsol) for an optimized crystal structure of SrBeBr2.

Structure (CIF):
```
data_SrBeBr2
_chemical_formula_sum 'Sr1 Be1 Br2'
_space_group_name_H-M_alt 'P 4 m m'
_space_group_IT_number 99
_cell_length_a 4.0374
_cell_length_b 4.0374
_cell_length_c 6.1863
_cell_angle_alpha 90.00
_cell_angle_beta 90.00
_cell_angle_gamma 90.00
loop_
_space_group_symop_operation_xyz
'x,y,z'
'-y,x,z'
'-x,-y,z'
'y,-x,z'
'-x,y,z'
'y,x,z'
'x,-y,z'
'-y,-x,z'
loop_
_atom_site_label
_atom_site_type_symbol
_atom_site_fract_x
_atom_site_fract_y
_atom_site_fract_z
_atom_site_occupancy
Sr1 Sr 0.0000 0.0000 0.0000 1
Be1 Be 0.5000 0.5000 0.3644 1
Br1 Br 0.0000 0.0000 0.4661 1
Br2 Br 0.5000 0.5000 0.7565 1
```

The excess energy over the best structure of this formula in the dataset comes out at 0.178 eV/atom. The total magnetic moment comes out at 0.0 μB per cell. The formation energy without anion corrections comes out at -0.6627 eV/atom.